## Tl2HgRh (PBE)

Data for Tl2HgRh after structural relaxation.

Cell and atoms, written as POSCAR:
```
Tl2HgRh
1.0
5.2631 0.0000 0.0000
0.0000 5.2631 0.0000
0.0000 0.0000 3.2508
Tl Hg Rh
2 1 1
Direct
0.0000 0.5000 0.0000 Tl
0.5000 0.0000 0.0000 Tl
0.0000 0.0000 0.5000 Hg
0.5000 0.5000 0.5000 Rh
```

- DOS(E_F) (states/eV/atom) = 0.3479
- formation enthalpy at 0 K (eV/atom) = 0.2580
- V (Å³/f.u.) = 90.0
- excess energy over the best structure of this formula in the dataset (eV per atom) = 0.209
- SG = No. 123